# PRhPbO2, relaxed, DFT PBE
data_PRhPbO2
_space_group_name_H-M_alt 'P 4/m m m'
_space_group_IT_number 123
_space_group_name_Hall '-P 4 2'
_cell_length_a 3.992
_cell_length_b 3.992
_cell_length_c 5.987
_cell_angle_alpha 90.00
_cell_angle_beta 90.00
_cell_angle_gamma 90.00
loop_
_atom_site_label
_atom_site_fract_x
_atom_site_fract_y
_atom_site_fract_z
_atom_site_occupancy
P1 0.000 0.000 0.000 1
Rh1 0.500 0.500 0.000 1
Pb1 0.000 0.000 0.500 1
O1 0.000 0.500 0.500 1
# E_tot: -4.65 eV/atom
# raw formation energy: 3.125 eV/f.u.
# total moment: 1.79 μB/f.u.


# Al2TeAsS, relaxed, DFT PBE
data_Al2TeAsS
_space_group_name_H-M_alt 'P 4/m m m'
_space_group_IT_number 123
_space_group_name_Hall '-P 4 2'
_cell_length_a 5.338
_cell_length_b 5.338
_cell_length_c 4.967
_cell_angle_alpha 90.00
_cell_angle_beta 90.00
_cell_angle_gamma 90.00
loop_
_atom_site_label
_atom_site_fract_x
_atom_site_fract_y
_atom_site_fract_z
_atom_site_occupancy
Al1 0.000 0.500 0.000 1
Te1 0.000 0.000 0.000 1
As1 0.500 0.500 0.500 1
S1 0.000 0.000 0.500 1
# E_tot: -3.02 eV/atom
# raw formation energy: 4.318 eV/f.u.
# total moment: 0.00 μB/f.u.


# BaSr2Mg2Ge2, relaxed, DFT PBE
data_BaSr2Mg2Ge2
_space_group_name_H-M_alt 'R -3 m'
_space_group_IT_number 166
_space_group_name_Hall '-R 3 2"'
_cell_length_a 4.8388
_cell_length_b 4.8388
_cell_length_c 32.2824
_cell_angle_alpha 90.00
_cell_angle_beta 90.00
_cell_angle_gamma 120.00
loop_
_atom_site_label
_atom_site_fract_x
_atom_site_fract_y
_atom_site_fract_z
_atom_site_occupancy
Ba1 0.0000 0.0000 0.0000 1
Sr1 0.0000 0.0000 0.1311 1
Mg1 0.0000 0.0000 0.4091 1
Ge1 0.0000 0.0000 0.2566 1
# formation energy: -0.348 eV/atom
# E_tot: -2.88 eV/atom
# total moment: 0.00 μB/f.u.